[1]
This record from Alexandria via LeMat-Bulk describes crystalline SrPb2 at its relaxed geometry. The functional is PBE-GGA.

a = 13.053 Å, b = 3.977 Å, c = 8.623 Å
α = 90.00°, β = 109.55°, γ = 90.00°
Space group C2/m (No. 12)
Unique sites:
1 Sr 0.169 0.000 0.156 [4 per cell]
2 Pb 0.047 0.500 0.788 [4 per cell]
3 Pb 0.125 0.000 0.542 [4 per cell]

Results
V = 421.82 Å³ per cell


[2]
This record from Alexandria via LeMat-Bulk describes crystalline SrPb2 at its relaxed geometry. The functional is PBE-GGA.

a = 7.732 Å, b = 7.732 Å, c = 7.732 Å
α = 90.00°, β = 90.00°, γ = 90.00°
Space group Fm-3m (No. 225)
Unique sites:
1 Sr 0.000 0.000 0.000 [4 per cell]
2 Pb 0.250 0.250 0.250 [8 per cell]

Results
V = 462.22 Å³ per cell


[3]
This record from Alexandria via LeMat-Bulk describes crystalline Sr5Pb3 at its relaxed geometry. The functional is PBE-GGA.

a = 10.0420 Å, b = 10.0420 Å, c = 7.3460 Å
α = 90.00°, β = 90.00°, γ = 120.00°
Space group P6_3/mcm (No. 193)
Unique sites:
1 Sr 0.0000 0.2688 0.2500 [6 per cell]
2 Sr 0.3333 0.6667 0.0000 [4 per cell]
3 Pb 0.0000 0.3875 0.7500 [6 per cell]

Results
Energy above the lowest structure with this stoichiometry = 34.1 meV/atom
V = 641.55 Å³ per cell


[4]
This record from Alexandria via LeMat-Bulk describes crystalline Sr5Pb2 at its relaxed geometry. The functional is PBE-GGA.

a = 18.439 Å, b = 7.746 Å, c = 8.554 Å
α = 90.00°, β = 95.69°, γ = 90.00°
Space group C2/c (No. 15)
Unique sites:
1 Sr 0.000 0.062 0.250 [4 per cell]
2 Sr 0.090 0.364 0.933 [8 per cell]
3 Sr 0.224 0.054 0.308 [8 per cell]
4 Pb 0.107 0.223 0.558 [8 per cell]

Results
Energy above the lowest structure with this stoichiometry = 0.0 meV/atom
V = 1215.71 Å³ per cell


[5]
This record from Alexandria via LeMat-Bulk describes crystalline Sr5Pb3 at its relaxed geometry. The functional is PBE-GGA.

a = 9.229 Å, b = 12.411 Å, c = 5.596 Å
α = 90.00°, β = 90.00°, γ = 90.00°
Space group Cmmm (No. 65)
Unique sites:
1 Sr 0.000 0.000 0.000 [2 per cell]
2 Sr 0.197 0.500 0.500 [4 per cell]
3 Sr 0.250 0.250 0.000 [4 per cell]
4 Pb 0.000 0.163 0.500 [4 per cell]
5 Pb 0.000 0.500 0.000 [2 per cell]

Results
Energy above the lowest structure with this stoichiometry = 100.8 meV/atom
V = 640.96 Å³ per cell


[6]
This record from Alexandria via LeMat-Bulk describes crystalline Sr2Pb at its relaxed geometry. The functional is PBE-GGA.

a = 5.7053 Å, b = 5.7053 Å, c = 4.2057 Å
α = 90.00°, β = 90.00°, γ = 120.00°
Space group P-3m1 (No. 164)
Unique sites:
1 Sr 0.3333 0.6667 0.2691 [2 per cell]
2 Pb 0.0000 0.0000 0.0000 [1 per cell]

Results
V = 118.56 Å³ per cell


[7]
This record from Alexandria via LeMat-Bulk describes crystalline Sr2Pb at its relaxed geometry. The functional is PBE-GGA.

a = 4.585 Å, b = 17.610 Å, c = 5.858 Å
α = 90.00°, β = 90.00°, γ = 90.00°
Space group Cmcm (No. 63)
Unique sites:
1 Sr 0.000 0.065 0.250 [4 per cell]
2 Sr 0.000 0.241 0.750 [4 per cell]
3 Pb 0.000 0.398 0.250 [4 per cell]

Results
V = 473.06 Å³ per cell


[8]
This record from Alexandria via LeMat-Bulk describes crystalline SrPb2 at its relaxed geometry. The functional is PBE-GGA.

a = 3.8493 Å, b = 3.8493 Å, c = 8.3537 Å
α = 90.00°, β = 90.00°, γ = 120.00°
Space group P-3m1 (No. 164)
Unique sites:
1 Sr 0.0000 0.0000 0.0000 [1 per cell]
2 Pb 0.3333 0.6667 0.6565 [2 per cell]

Results
V = 107.20 Å³ per cell


[9]
This record from Alexandria via LeMat-Bulk describes crystalline Sr2Pb at its relaxed geometry. The functional is PBE-GGA.

a = 9.968 Å, b = 9.968 Å, c = 9.968 Å
α = 90.00°, β = 90.00°, γ = 90.00°
Space group Fd-3m (No. 227, origin choice 2)
Unique sites:
1 Sr 0.000 0.000 0.000 [16 per cell]
2 Pb 0.125 0.125 0.625 [8 per cell]

Results
V = 990.37 Å³ per cell


[10]
This record from Alexandria via LeMat-Bulk describes crystalline Sr3Pb at its relaxed geometry. The functional is PBE-GGA.

a = 4.1721 Å, b = 4.1721 Å, c = 12.2838 Å
α = 90.00°, β = 90.00°, γ = 120.00°
Space group P-6m2 (No. 187)
Unique sites:
1 Sr 0.0000 0.0000 0.0000 [1 per cell]
2 Sr 0.3333 0.6667 0.2926 [2 per cell]
3 Pb 0.0000 0.0000 0.5000 [1 per cell]

Results
V = 185.17 Å³ per cell


[11]
This record from Alexandria via LeMat-Bulk describes crystalline Sr3Pb at its relaxed geometry. The functional is PBE-GGA.

a = 6.294 Å, b = 6.294 Å, c = 8.383 Å
α = 90.00°, β = 90.00°, γ = 90.00°
Space group I4/mmm (No. 139)
Unique sites:
1 Sr 0.000 0.000 0.000 [2 per cell]
2 Sr 0.000 0.500 0.250 [4 per cell]
3 Pb 0.000 0.000 0.500 [2 per cell]

Results
V = 332.05 Å³ per cell


[12]
This record from Alexandria via LeMat-Bulk describes crystalline Sr4Pb at its relaxed geometry. The functional is PBE-GGA.

a = 7.956 Å, b = 7.956 Å, c = 7.956 Å
α = 90.00°, β = 90.00°, γ = 90.00°
Space group Im-3m (No. 229)
Unique sites:
1 Sr 0.250 0.250 0.250 [8 per cell]
2 Pb 0.000 0.000 0.000 [2 per cell]

Results
Energy above the lowest structure with this stoichiometry = 67.9 meV/atom
V = 503.54 Å³ per cell


| no. | magnetic moment (μB per formula unit) | energy of formation from the pure elements (eV/atom) |
| --- | --- | --- |
| 1 | 0.00 | -0.26 |
| 2 | 0.00 | -0.07 |
| 3 | 0.00 | -0.51 |
| 4 | 0.00 | -0.43 |
| 5 | 0.00 | -0.44 |
| 6 | 0.00 | -0.35 |
| 7 | 0.29 | -0.36 |
| 8 | 0.00 | -0.07 |
| 9 | 0.00 | 0.20 |
| 10 | 0.00 | -0.17 |
| 11 | 0.00 | -0.19 |
| 12 | 0.00 | -0.06 |